VASP calculation (PBE) on a geometry-optimized Li3Hg2Pd2 structure.

The calculation puts the total magnetization at 0.00 μB per formula unit. Its calculated total energy is -18.4 eV per formula unit. Its crystal system is monoclinic.

```
data_Li3Hg2Pd2
_symmetry_space_group_name_H-M 'P 1 2/m 1'
_symmetry_Int_Tables_number 10
_cell_length_a 4.510
_cell_length_b 2.874
_cell_length_c 9.716
_cell_angle_alpha 90.00
_cell_angle_beta 103.31
_cell_angle_gamma 90.00
loop_
_symmetry_equiv_pos_as_xyz
'x,y,z'
'-x,-y,-z'
'-x,y,-z'
'x,-y,z'
loop_
_atom_site_label
_atom_site_type_symbol
_atom_site_fract_x
_atom_site_fract_y
_atom_site_fract_z
Li1 Li 0.000 0.000 0.000
Li2 Li 0.293 0.000 0.589
Hg1 Hg 0.142 0.000 0.280
Pd1 Pd 0.423 0.500 0.851
```